Entry 1:
A plane-wave DFT calculation with PBE was carried out for an optimized crystal structure of Nd8NiP3Br4.

a = 8.7594 Å, b = 8.7594 Å, c = 8.7594 Å
α = 56.83°, β = 56.83°, γ = 56.83°
Atoms (fractional coordinates):
Nd1 0.2347 0.2347 0.2347
Nd2 0.2436 0.7297 0.7297
Nd3 0.2703 0.2703 0.7564
Nd4 0.2703 0.7564 0.2703
Nd5 0.7297 0.2436 0.7297
Nd6 0.7297 0.7297 0.2436
Nd7 0.7564 0.2703 0.2703
Nd8 0.7653 0.7653 0.7653
Ni1 0.5000 0.5000 0.5000
P1 0.0000 0.0000 0.5000
P2 0.0000 0.5000 0.0000
P3 0.5000 0.0000 0.0000
Br1 0.0000 0.0000 0.0000
Br2 0.0000 0.5000 0.5000
Br3 0.5000 0.0000 0.5000
Br4 0.5000 0.5000 0.0000

Calculated values
DOS(E_F)   0.5322 states/eV/atom
Formation energy without anion corrections   -1302 meV per atom
Raw total energy   -5.48 eV/atom

---

Entry 2:
A plane-wave DFT calculation with PBE was carried out for an optimized crystal structure of Nd8NiPt3Br4.

a = 9.1415 Å, b = 9.1415 Å, c = 9.1415 Å
α = 54.73°, β = 54.73°, γ = 54.73°
Atoms (fractional coordinates):
Nd1 0.2330 0.2330 0.2330
Nd2 0.2395 0.7279 0.7279
Nd3 0.2721 0.2721 0.7605
Nd4 0.2721 0.7605 0.2721
Nd5 0.7279 0.2395 0.7279
Nd6 0.7279 0.7279 0.2395
Nd7 0.7605 0.2721 0.2721
Nd8 0.7670 0.7670 0.7670
Ni1 0.5000 0.5000 0.5000
Pt1 0.0000 0.0000 0.5000
Pt2 0.0000 0.5000 0.0000
Pt3 0.5000 0.0000 0.0000
Br1 0.0000 0.0000 0.0000
Br2 0.0000 0.5000 0.5000
Br3 0.5000 0.0000 0.5000
Br4 0.5000 0.5000 0.0000

Calculated values
DOS(E_F)   0.7283 states/eV/atom
Formation energy without anion corrections   -1132 meV per atom
Raw total energy   -5.43 eV/atom

---

Entry 3:
A plane-wave DFT calculation with PBE was carried out for an optimized crystal structure of Nd4NiRhBr2.

a = 7.1216 Å, b = 4.1065 Å, c = 8.1539 Å
α = 90.00°, β = 107.01°, γ = 90.00°
Atoms (fractional coordinates):
Nd1 0.2284 0.0000 0.1928
Nd2 0.2630 0.5000 0.8054
Nd3 0.7370 0.5000 0.1946
Nd4 0.7716 0.0000 0.8072
Ni1 0.0000 0.5000 0.0000
Rh1 0.5000 0.0000 0.0000
Br1 0.0000 0.0000 0.5000
Br2 0.5000 0.5000 0.5000

Calculated values
DOS(E_F)   0.5225 states/eV/atom
Formation energy without anion corrections   -941 meV per atom
Raw total energy   -5.39 eV/atom

---

What did the first record say?
A plane-wave DFT calculation with PBE was carried out for an optimized crystal structure of Nd8NiP3Br4.

a = 8.7594 Å, b = 8.7594 Å, c = 8.7594 Å
α = 56.83°, β = 56.83°, γ = 56.83°
Atoms (fractional coordinates):
Nd1 0.2347 0.2347 0.2347
Nd2 0.2436 0.7297 0.7297
Nd3 0.2703 0.2703 0.7564
Nd4 0.2703 0.7564 0.2703
Nd5 0.7297 0.2436 0.7297
Nd6 0.7297 0.7297 0.2436
Nd7 0.7564 0.2703 0.2703
Nd8 0.7653 0.7653 0.7653
Ni1 0.5000 0.5000 0.5000
P1 0.0000 0.0000 0.5000
P2 0.0000 0.5000 0.0000
P3 0.5000 0.0000 0.0000
Br1 0.0000 0.0000 0.0000
Br2 0.0000 0.5000 0.5000
Br3 0.5000 0.0000 0.5000
Br4 0.5000 0.5000 0.0000

Calculated values
DOS(E_F)   0.5322 states/eV/atom
Formation energy without anion corrections   -1302 meV per atom
Raw total energy   -5.48 eV/atom